Record 1
DFT (PBE) results for crystalline Bi2S2O at its relaxed geometry.

Geometry as extended XYZ:
```
10
Lattice="5.2902 0.0000 2.2577 1.6567 6.0699 3.4447 0.0707 0.4088 7.1612" Properties=species:S:1:pos:R:3 pbc="T T T"
Bi 3.5269 5.1239 6.3892
S 0.7761 0.3919 5.5083
Bi 5.4602 2.5832 9.1860
O 2.1862 3.2394 5.8674
S 4.5373 4.3758 4.0217
O 4.8313 3.2394 6.9962
S 2.4802 2.1030 8.8419
Bi 1.5574 3.8955 3.6776
Bi 3.4906 1.3549 6.4744
S 6.2415 6.0868 7.3553
```

Summary:
As for the formation energy without anion corrections: -0.604 eV/atom. The magnetic moment comes out at 0.00 μB per atom. Its space group is Ibam, No. 72.

Record 2
DFT (PBE) results for crystalline BiS3O at its relaxed geometry.

Geometry as extended XYZ:
```
5
Lattice="-3.0350 0.3027 -3.1722 1.4057 -3.8043 -1.7080 -2.8598 -2.1912 2.5270" Properties=species:S:1:pos:R:3 pbc="T T T"
S -1.4299 -1.0956 1.2635
S 0.7029 -1.9021 -0.8540
Bi -2.2445 -2.8464 -1.1766
O 0.0000 0.0000 0.0000
S -1.5175 0.1514 -1.5861
```

Summary:
As for the formation energy without anion corrections: 0.464 eV/atom. The magnetic moment comes out at 0.00 μB per atom. Its space group is Pm-3m, No. 221.

Record 3
DFT (PBE) results for crystalline BiSO at its relaxed geometry.

Geometry as extended XYZ:
```
6
Lattice="4.4012 0.0000 0.0000 2.2006 3.2319 0.4577 2.2006 1.6776 8.5882" Properties=species:S:1:pos:R:3 pbc="T T T"
O 4.4013 3.7730 3.8585
O 4.4012 1.1365 5.1873
S 2.2006 2.5994 1.2740
Bi 4.4013 3.3467 6.1459
Bi 4.4012 1.5628 2.9000
S 6.6019 2.3101 7.7719
```

Summary:
As for the formation energy without anion corrections: -0.690 eV/atom. The magnetic moment comes out at 0.00 μB per atom. Its space group is C2/m, No. 12.